[1]
MgSbIr | the Alexandria database | GGA-PBE | relaxed; electronic total energy = -30.3 eV per cell; SG = I4mm, No. 107
1.0
3.150 0.000 0.000
0.000 3.150 0.000
0.000 0.000 12.340
Mg Sb Ir
2 2 2
direct
0.000 0.000 0.000
0.500 0.500 0.500
0.000 0.000 0.731
0.500 0.500 0.231
0.000 0.000 0.365
0.500 0.500 0.865



[2]
MgSbIr | the Alexandria database | GGA-PBE | relaxed; electronic total energy = -14.8 eV per cell; SG = P3m1, No. 156
1.0
3.297 0.000 0.000
-1.648 2.855 0.000
0.000 0.000 6.461
Mg Sb Ir
1 1 1
direct
0.000 0.000 0.000
0.667 0.333 0.408
0.333 0.667 0.696



[3]
Mg4SbIr | the Alexandria database | GGA-PBE | relaxed; electronic total energy = -18.3 eV per cell; SG = F-43m, No. 216
1.0
0.000 3.898 3.898
3.898 0.000 3.898
3.898 3.898 0.000
Mg Sb Ir
4 1 1
direct
0.376 0.376 0.376
0.376 0.376 0.871
0.376 0.871 0.376
0.871 0.376 0.376
0.000 0.000 0.000
0.750 0.750 0.750



[4]
Mg2SbIr | the Alexandria database | GGA-PBE | relaxed; electronic total energy = -17.1 eV per cell; SG = Pmmm, No. 47
1.0
3.190 0.000 0.000
0.000 3.865 0.000
0.000 0.000 6.003
Mg Sb Ir
2 1 1
direct
0.000 0.000 0.219
0.000 0.000 0.781
0.500 0.500 0.500
0.500 0.500 0.000



[5]
Mg2SbIr | the Alexandria database | GGA-PBE | relaxed; electronic total energy = -34.7 eV per cell; SG = Imm2, No. 44
1.0
3.049 0.000 0.000
0.000 4.494 0.000
0.000 0.000 12.385
Mg Sb Ir
4 2 2
direct
0.000 0.000 0.000
0.000 0.500 0.177
0.500 0.000 0.677
0.500 0.500 0.500
0.000 0.500 0.810
0.500 0.000 0.310
0.000 0.000 0.492
0.500 0.500 0.992



[6]
Mg2SbIr | the Alexandria database | GGA-PBE | relaxed; electronic total energy = -16.6 eV per cell; SG = P4mm, No. 99
1.0
3.148 0.000 0.000
0.000 3.148 0.000
0.000 0.000 8.427
Mg Sb Ir
2 1 1
direct
0.000 0.000 0.000
0.500 0.500 0.287
0.000 0.000 0.601
0.500 0.500 0.797



[7]
MgSb2Ir | the Alexandria database | GGA-PBE | relaxed; electronic total energy = -19.3 eV per cell; SG = P4mm, No. 99
1.0
3.162 0.000 0.000
0.000 3.162 0.000
0.000 0.000 8.731
Mg Sb Ir
1 2 1
direct
0.000 0.000 0.000
0.000 0.000 0.617
0.500 0.500 0.266
0.500 0.500 0.803



[8]
MgSiSb2Ir | the Alexandria database | GGA-PBE | relaxed; SG = P4/mmm, No. 123; relative energy among the computed polymorphs = 0.0 meV/atom
1.0
5.219 0.000 0.000
0.000 5.219 0.000
0.000 0.000 4.667
Mg Si Sb Ir
1 1 2 1
direct
0.000 0.000 0.000
0.500 0.500 0.500
0.000 0.500 0.000
0.500 0.000 0.000
0.000 0.000 0.500



[9]
MgSiSb2Ir | the Alexandria database | GGA-PBE | relaxed; SG = P4/mmm, No. 123; relative energy among the computed polymorphs = 124.0 meV/atom
1.0
5.158 0.000 0.000
0.000 5.158 0.000
0.000 0.000 4.679
Mg Si Sb Ir
1 1 2 1
direct
0.000 0.000 0.000
0.000 0.000 0.500
0.000 0.500 0.000
0.500 0.000 0.000
0.500 0.500 0.500



[10]
MgTiSbIr2 | the Alexandria database | GGA-PBE | relaxed; electronic total energy = -28.1 eV per cell; SG = P4/mmm, No. 123
1.0
4.673 0.000 0.000
0.000 4.673 0.000
0.000 0.000 5.065
Mg Ti Sb Ir
1 1 1 2
direct
0.000 0.000 0.000
0.500 0.500 0.500
0.500 0.500 0.000
0.000 0.500 0.500
0.500 0.000 0.500



[11]
MgScIr3 | the Alexandria database | GGA-PBE | relaxed; ΔH_f (0 K) = 1.066 eV per atom; SG = Pm-3m, No. 221; relative energy among the computed polymorphs = 305.2 meV/atom
1.0
4.703 0.000 0.000
0.000 4.703 0.000
0.000 0.000 4.703
Mg Sc Ir
1 1 3
direct
0.000 0.000 0.000
0.500 0.500 0.500
0.000 0.500 0.500
0.500 0.000 0.500
0.500 0.500 0.000



[12]
MgSc2Ir | the Alexandria database | GGA-PBE | relaxed; ΔH_f (0 K) = -0.180 eV per atom; SG = I-42d, No. 122
1.0
7.887 0.000 0.000
0.000 7.887 0.000
0.000 0.000 5.754
Mg Sc Ir
4 8 4
direct
0.000 0.000 0.000
0.000 0.500 0.250
0.500 0.000 0.750
0.500 0.500 0.500
0.185 0.750 0.625
0.250 0.185 0.375
0.250 0.315 0.875
0.315 0.750 0.125
0.685 0.250 0.125
0.750 0.685 0.875
0.750 0.815 0.375
0.815 0.250 0.625
0.000 0.000 0.500
0.000 0.500 0.750
0.500 0.000 0.250
0.500 0.500 0.000



Going through the records in order, we get spin magnetization values of 0.00; 0.00; 0.00; 0.00; 0.00; 0.00; 0.00; 0.00; 0.00; 0.00; 0.00; 0.00 μB per formula unit.